Material: Pm7PrHo4
Method: DFT, GGA-PBE
State: optimized geometry

Computed properties:
Final energy ... -0.32695 Ry per atom
Total magnetization ... 0.00 μB/cell

abc: 12.1233 6.0250 12.7550
angles: 90.00 118.03 90.00
Space group C2/m (No. 12)
Inequivalent atoms, fractional coordinates:
Pm  0.0000  0.0000  0.0000
Pm  0.0596  0.5000  0.3287
Pm  0.1304  0.0000  0.5027
Pm  0.2097  0.5000  0.9197
Pr  0.0000  0.5000  0.0000
Ho  0.1364  0.0000  0.7751
Ho  0.2504  0.0000  0.3177